(a)
CoHgP | PBE-GGA | optimized geometry

Structure (CIF):
```
data_CoHgP
_chemical_formula_sum 'Co3 Hg3 P3'
_symmetry_space_group_name_H-M 'R 3 m'
_symmetry_Int_Tables_number 160
_symmetry_space_group_name_Hall 'R 3 -2"'
_cell_length_a 3.1072
_cell_length_b 3.1072
_cell_length_c 17.9493
_cell_angle_alpha 90.00
_cell_angle_beta 90.00
_cell_angle_gamma 120.00
loop_
_atom_site_label
_atom_site_type_symbol
_atom_site_fract_x
_atom_site_fract_y
_atom_site_fract_z
Co1 Co 0.0000 0.0000 0.0000
Hg1 Hg 0.0000 0.0000 0.5459
P1 P 0.0000 0.0000 0.3998
```

Properties
As for the density of states at the Fermi level: 0.04 states/eV/atom.

(b)
CoHgP | PBE-GGA | optimized geometry

Structure (CIF):
```
data_CoHgP
_chemical_formula_sum 'Co4 Hg4 P4'
_symmetry_space_group_name_H-M 'C 1 m 1'
_symmetry_Int_Tables_number 8
_symmetry_space_group_name_Hall 'C -2y'
_cell_length_a 12.210
_cell_length_b 3.041
_cell_length_c 5.712
_cell_angle_alpha 90.00
_cell_angle_beta 108.00
_cell_angle_gamma 90.00
loop_
_atom_site_label
_atom_site_type_symbol
_atom_site_fract_x
_atom_site_fract_y
_atom_site_fract_z
Co1 Co 0.000 0.000 0.000
Co2 Co 0.225 0.000 0.129
Hg1 Hg 0.106 0.500 0.430
Hg2 Hg 0.358 0.500 0.536
P1 P 0.125 0.500 0.888
P2 P 0.384 0.000 0.049
```

Properties
As for the density of states at the Fermi level: 0.49 states/eV/atom.

Ordering by calculated energy gives the sequence (a), (b), with the first entry being the most stable.